The following is a PBE-GGA calculation of a relaxed Gd3P2 crystal, from the Open Quantum Materials Database.

Its raw total energy is -6.22 eV per atom. The volume comes out at 133.4 Å³/cell.

The structure belongs to space group P-3m1 (No. 164); the cell edges are 4.0136, 4.0136 and 9.5642 Å and the angles 90.00°, 90.00° and 120.00°. The asymmetric unit holds Gd at (0.0000, 0.0000, 0.0000), Gd at (0.3333, 0.6667, 0.3328) and P at (0.3333, 0.6667, 0.8247).